Below is a relaxed Al2Cd2GaPt5 crystal, with properties calculated at the PBE level.

* uncorrected energy: -96.2 eV/cell
* volume: 16.63 Å³ per atom
* magnetization: 0.00 Bohr magnetons per cell

abc: 3.665 9.527 9.527
angles: 90.00 90.00 90.00
Atoms (fractional coordinates):
Cd1 0.000 0.170 0.330
Cd2 0.000 0.330 0.830
Cd3 0.000 0.670 0.170
Cd4 0.000 0.830 0.670
Pt1 0.500 0.196 0.078
Pt2 0.500 0.696 0.422
Pt3 0.500 0.578 0.696
Pt4 0.500 0.000 0.500
Pt5 0.500 0.422 0.304
Pt6 0.500 0.922 0.196
Pt7 0.500 0.078 0.804
Pt8 0.500 0.304 0.578
Pt9 0.500 0.804 0.922
Pt10 0.500 0.500 0.000
Ga1 0.000 0.000 0.000
Ga2 0.000 0.500 0.500
Al1 0.000 0.129 0.629
Al2 0.000 0.371 0.129
Al3 0.000 0.871 0.371
Al4 0.000 0.629 0.871

Below is a relaxed Li3In6Pd crystal, with properties calculated at the PBE level.

* uncorrected energy: -59.9 eV/cell
* volume: 20.95 Å³ per atom
* magnetization: 0.00 Bohr magnetons per cell

abc: 4.817 8.270 11.359
angles: 112.22 90.00 90.00
Atoms (fractional coordinates):
Pd1 0.250 0.964 0.576
Pd2 0.750 0.036 0.424
In1 0.750 0.516 0.926
In2 0.750 0.826 0.842
In3 0.250 0.484 0.074
In4 0.250 0.250 0.492
In5 0.750 0.335 0.343
In6 0.250 0.174 0.158
In7 0.750 0.750 0.508
In8 0.250 0.065 0.849
In9 0.750 0.150 0.693
In10 0.250 0.665 0.657
In11 0.250 0.850 0.307
In12 0.750 0.935 0.151
Li1 0.250 0.782 0.979
Li2 0.750 0.622 0.225
Li3 0.250 0.541 0.369
Li4 0.250 0.378 0.775
Li5 0.750 0.218 0.021
Li6 0.750 0.459 0.631

Below is a relaxed Li4Np3PdSe8 crystal, with properties calculated at the PBE level.

* volume: 22.30 Å³ per atom
* formation energy without anion corrections: -24.3 kcal/mol of atoms
* magnetization: 9.68 Bohr magnetons per cell

abc: 7.958 7.965 7.957
angles: 119.98 120.00 90.00
Atoms (fractional coordinates):
Np1 0.500 0.500 0.500
Np2 0.000 0.500 0.500
Np3 0.500 0.500 0.000
Se1 0.754 0.761 0.507
Se2 0.248 0.751 0.496
Se3 0.756 0.751 0.004
Se4 0.244 0.249 0.996
Se5 0.246 0.239 0.493
Se6 0.752 0.249 0.504
Se7 0.752 0.249 0.996
Se8 0.248 0.751 0.004
Pd1 0.000 0.500 0.000
Li1 0.500 0.000 0.000
Li2 0.000 0.000 0.500
Li3 0.500 0.000 0.500
Li4 0.000 0.000 0.000

Below is a relaxed TaPdAu crystal, with properties calculated at the PBE level.

* distance to the lowest polymorph of the same formula: 0.276 eV per atom
* volume: 17.30 Å³ per atom
* magnetization: 0.00 Bohr magnetons per cell

abc: 5.590 5.344 8.153
angles: 90.00 90.00 121.54
Atoms (fractional coordinates):
Ta1 0.125 0.251 0.908
Ta2 0.875 0.749 0.092
Ta3 0.625 0.251 0.592
Ta4 0.375 0.749 0.408
Pd1 0.373 0.246 0.250
Pd2 0.627 0.754 0.750
Pd3 0.873 0.246 0.250
Pd4 0.127 0.754 0.750
Au1 0.373 0.746 0.081
Au2 0.127 0.254 0.581
Au3 0.627 0.254 0.919
Au4 0.873 0.746 0.419

Below is a relaxed Ac6Pm2Er crystal, with properties calculated at the PBE level.

* uncorrected energy: -74.3 eV/cell
* volume: 42.54 Å³ per atom
* magnetization: 0.00 Bohr magnetons per cell

abc: 9.363 6.733 12.838
angles: 108.91 90.00 90.00
Atoms (fractional coordinates):
Er1 0.500 0.500 0.000
Er2 0.000 0.000 0.500
Pm1 0.500 0.008 0.139
Pm2 0.000 0.492 0.361
Pm3 0.000 0.508 0.639
Pm4 0.500 0.992 0.861
Ac1 0.500 0.370 0.696
Ac2 0.500 0.630 0.304
Ac3 0.000 0.130 0.804
Ac4 0.801 0.302 0.095
Ac5 0.699 0.198 0.405
Ac6 0.301 0.198 0.405
Ac7 0.301 0.802 0.595
Ac8 0.000 0.870 0.196
Ac9 0.199 0.302 0.095
Ac10 0.801 0.698 0.905
Ac11 0.699 0.802 0.595
Ac12 0.199 0.698 0.905

Below is a relaxed Si2PBr crystal, with properties calculated at the PBE level.

* distance to the lowest polymorph of the same formula: 0.438 eV per atom
* volume: 22.72 Å³ per atom
* formation energy without anion corrections: 11.7 kcal/mol of atoms
* magnetization: 0.00 Bohr magnetons per cell

abc: 5.445 5.445 5.445
angles: 143.08 103.70 87.92
Atoms (fractional coordinates):
Si1 0.546 0.546 0.000
Si2 0.954 0.954 0.000
P1 0.750 0.250 0.500
Br1 0.250 0.750 0.500

Below is a relaxed LiNdTe crystal, with properties calculated at the PBE level.

* distance to the lowest polymorph of the same formula: 0.025 eV per atom
* volume: 25.23 Å³ per atom
* formation energy without anion corrections: -22.2 kcal/mol of atoms
* magnetization: 0.00 Bohr magnetons per cell

abc: 4.303 4.303 8.174
angles: 90.00 90.00 90.00
Atoms (fractional coordinates):
Te1 0.500 0.000 0.730
Te2 0.000 0.500 0.270
Li1 0.500 0.500 0.500
Li2 0.000 0.000 0.500
Nd1 0.500 0.000 0.132
Nd2 0.000 0.500 0.868

Below is a relaxed Ce2Sm6HoEr3 crystal, with properties calculated at the PBE level.

* uncorrected energy: -57.8 eV/cell
* volume: 32.16 Å³ per atom
* magnetization: 2.12 Bohr magnetons per cell

abc: 6.189 6.189 11.819
angles: 95.02 95.02 120.01
Atoms (fractional coordinates):
Er1 0.500 0.500 0.500
Er2 0.166 0.834 0.500
Er3 0.834 0.166 0.500
Sm1 0.084 0.419 0.250
Sm2 0.916 0.581 0.750
Sm3 0.749 0.749 0.250
Sm4 0.419 0.084 0.250
Sm5 0.581 0.916 0.750
Sm6 0.251 0.251 0.750
Ce1 0.333 0.667 0.000
Ce2 0.667 0.333 0.000
Ho1 0.000 0.000 0.000

Below is a relaxed TlAsSe2Cl crystal, with properties calculated at the PBE level.

* distance to the lowest polymorph of the same formula: 0.000 eV per atom
* volume: 28.21 Å³ per atom
* formation energy without anion corrections: 14.9 kcal/mol of atoms
* magnetization: 1.90 Bohr magnetons per cell

abc: 5.329 5.329 4.966
angles: 90.00 90.00 90.00
Atoms (fractional coordinates):
Se1 0.500 0.000 0.000
Se2 0.000 0.500 0.000
Cl1 0.000 0.000 0.000
As1 0.000 0.000 0.500
Tl1 0.500 0.500 0.500

Below is a relaxed Nb5Ge2Rh12 crystal, with properties calculated at the PBE level.

* uncorrected energy: -152.4 eV/cell
* volume: 16.16 Å³ per atom
* magnetization: 0.00 Bohr magnetons per cell

abc: 8.218 7.529 5.932
angles: 92.66 90.00 123.07
Atoms (fractional coordinates):
Nb1 0.331 0.662 0.086
Nb2 0.758 0.516 0.452
Nb3 0.669 0.338 0.914
Nb4 0.242 0.484 0.548
Nb5 0.000 0.000 0.500
Ge1 0.744 0.000 0.000
Ge2 0.256 0.000 0.000
Rh1 0.454 0.908 0.735
Rh2 0.941 0.408 0.198
Rh3 0.378 0.204 0.597
Rh4 0.826 0.204 0.597
Rh5 0.059 0.592 0.802
Rh6 0.910 0.820 0.860
Rh7 0.534 0.592 0.802
Rh8 0.622 0.796 0.403
Rh9 0.546 0.092 0.265
Rh10 0.174 0.796 0.403
Rh11 0.466 0.408 0.198
Rh12 0.090 0.180 0.140

Below is a relaxed Li4Ag3Sn crystal, with properties calculated at the PBE level.

* distance to the lowest polymorph of the same formula: 0.056 eV per atom
* volume: 17.32 Å³ per atom
* magnetization: 0.00 Bohr magnetons per cell

abc: 4.553 4.608 7.354
angles: 71.77 108.03 90.00
Atoms (fractional coordinates):
Li1 0.371 0.628 0.742
Li2 0.629 0.372 0.258
Li3 0.748 0.752 0.496
Li4 0.252 0.248 0.504
Ag1 0.137 0.862 0.275
Ag2 0.000 0.500 0.000
Ag3 0.863 0.138 0.725
Sn1 0.500 0.000 0.000

Below is a relaxed In3AgRh crystal, with properties calculated at the PBE level.

* distance to the lowest polymorph of the same formula: 0.212 eV per atom
* volume: 26.91 Å³ per atom
* magnetization: 0.00 Bohr magnetons per cell

abc: 5.124 5.124 5.124
angles: 90.00 90.00 90.00
Atoms (fractional coordinates):
In1 0.000 0.500 0.000
In2 0.000 0.000 0.500
In3 0.500 0.000 0.000
Ag1 0.500 0.500 0.500
Rh1 0.000 0.000 0.000

> Number 11 is which compound?

Li4Ag3Sn

> Among the records above, which one has the highest magnetization?

Li4Np3PdSe8